[1]
Tm10SnPb6 PBE-GGA optimized geometry; DOS(E_F) = 11.64 states/eV/f.u.; V = 477.5 Å³/cell; formation energy = -8.37 eV/f.u.
1.0
-4.105 -4.860 -1.648
4.518 -1.142 -7.885
2.543 -4.676 7.454
Tm Sn Pb
10 1 6
Direct
0.760 0.740 0.740
0.760 0.000 0.260
0.760 0.260 0.000
0.240 0.260 0.260
0.240 0.000 0.740
0.240 0.740 0.000
0.500 0.333 0.667
0.500 0.667 0.333
0.000 0.667 0.333
0.000 0.333 0.667
0.500 0.000 0.000
0.749 0.389 0.389
0.749 0.000 0.611
0.749 0.611 0.000
0.251 0.611 0.611
0.251 0.000 0.389
0.251 0.389 0.000

---

[2]
Tm2SnPb PBE-GGA optimized geometry; relative energy among the computed polymorphs = 59.4 meV/atom; DOS(E_F) = 2.94 states/eV/f.u.; V = 228.3 Å³/cell; formation energy = -1.87 eV/f.u.
1.0
-1.400 3.786 -0.744
-2.771 -1.688 -3.375
-7.291 -0.803 9.636
Tm Sn Pb
4 2 2
Direct
0.750 0.680 0.361
0.250 0.320 0.639
0.750 0.939 0.877
0.250 0.061 0.123
0.250 0.455 0.909
0.750 0.545 0.091
0.250 0.189 0.378
0.750 0.811 0.622

---

[3]
Tm8SnPb5 PBE-GGA optimized geometry; DOS(E_F) = 1.52 states/eV/f.u.; V = 397.4 Å³/cell; formation energy = -7.25 eV/f.u.
1.0
8.022 0.022 -0.038
-2.694 7.556 0.038
-2.634 -3.810 6.550
Tm Sn Pb
8 1 5
Direct
0.125 0.748 0.015
0.985 0.110 0.734
0.771 0.251 0.378
0.622 0.393 0.873
0.480 0.607 0.229
0.623 0.890 0.875
0.266 0.252 0.377
0.127 0.749 0.520
0.250 0.500 0.750
0.998 0.375 0.124
0.876 0.874 0.251
0.749 0.625 0.624
0.500 0.000 0.500
0.376 0.126 0.002

---

[4]
Tm6SnPb2 PBE-GGA optimized geometry; DOS(E_F) = 12.80 states/eV/f.u.; V = 647.4 Å³/cell; formation energy = 0.93 eV/f.u.
1.0
-0.292 -3.911 5.455
-2.030 -5.153 -3.803
13.658 -3.872 -2.044
Tm Sn Pb
12 2 4
Direct
0.310 0.310 0.336
0.690 0.690 0.336
0.190 0.810 0.836
0.810 0.190 0.836
0.190 0.810 0.164
0.810 0.190 0.164
0.310 0.310 0.664
0.690 0.690 0.664
0.307 0.307 0.000
0.693 0.693 0.000
0.193 0.807 0.500
0.807 0.193 0.500
0.000 0.000 0.000
0.500 0.500 0.500
0.000 0.000 0.332
0.500 0.500 0.832
0.500 0.500 0.168
0.000 0.000 0.668

---

[5]
Tm2SnPb PBE-GGA optimized geometry; relative energy among the computed polymorphs = 112.5 meV/atom; DOS(E_F) = 2.54 states/eV/f.u.; V = 108.4 Å³/cell; formation energy = -1.66 eV/f.u.
1.0
5.352 0.000 0.000
2.676 4.635 0.000
2.676 1.545 4.370
Pb Tm Sn
1 2 1
Direct
0.500 0.500 0.500
0.250 0.250 0.250
0.750 0.750 0.750
0.000 0.000 0.000

---

[6]
TmSnPb PBE-GGA optimized geometry; relative energy among the computed polymorphs = 101.2 meV/atom; DOS(E_F) = 1.55 states/eV/f.u.; V = 167.4 Å³/cell; formation energy = -0.97 eV/f.u.
1.0
4.662 0.000 0.000
0.000 4.662 0.000
-2.331 -2.331 7.702
Tm Sn Pb
2 2 2
Direct
0.138 0.138 0.276
0.862 0.862 0.724
0.000 0.500 0.000
0.500 0.000 0.000
0.661 0.661 0.322
0.339 0.339 0.678